No. 1
! YSc2Ru (PBE, relaxed); values from VASP
! Crystal system: monoclinic
! Energy relative to the lowest polymorph listed for this composition in meV/atom: 201.5
! Space-group type: P2/m, No. 10
! Energy of formation from the pure elements in kcal/mol of atoms: -3.2
! Total magnetic moment in μB per formula unit: 0.00
&SYSTEM
  ibrav = 0, nat = 4, ntyp = 3
/
ATOMIC_SPECIES
Ru 101.07 Ru.upf
Sc 44.96 Sc.upf
Y 88.91 Y.upf
ATOMIC_POSITIONS crystal
Ru 0.5000 0.7500 0.7500
Sc 0.0000 0.9198 0.9590
Sc 0.0000 0.5802 0.5410
Y 0.5000 0.2500 0.2500
CELL_PARAMETERS angstrom
4.3498 0.0000 0.0000
0.0000 3.3764 0.0015
0.0000 1.6222 5.9658

No. 2
! YSc2Ru (PBE, relaxed); values from VASP
! Crystal system: orthorhombic
! Energy relative to the lowest polymorph listed for this composition in meV/atom: 77.7
! Space-group type: Imm2, No. 44
! Energy of formation from the pure elements in kcal/mol of atoms: -6.0
! Total magnetic moment in μB per formula unit: 0.00
&SYSTEM
  ibrav = 0, nat = 4, ntyp = 3
/
ATOMIC_SPECIES
Ru 101.07 Ru.upf
Sc 44.96 Sc.upf
Y 88.91 Y.upf
ATOMIC_POSITIONS crystal
Ru 0.7419 0.7419 0.7582
Sc 0.0527 0.0527 0.9472
Sc 0.2494 0.2494 0.2506
Y 0.4560 0.4560 0.5439
CELL_PARAMETERS angstrom
5.9881 -0.0051 -0.0034
4.9984 3.2975 -0.0034
2.0758 0.6221 4.4855

No. 3
! YSc2Ru (PBE, relaxed); values from VASP
! Crystal system: trigonal
! Energy relative to the lowest polymorph listed for this composition in meV/atom: 326.7
! Space-group type: R3m, No. 160
! Energy of formation from the pure elements in kcal/mol of atoms: -0.3
! Total magnetic moment in μB per formula unit: 0.75
&SYSTEM
  ibrav = 0, nat = 4, ntyp = 3
/
ATOMIC_SPECIES
Ru 101.07 Ru.upf
Sc 44.96 Sc.upf
Y 88.91 Y.upf
ATOMIC_POSITIONS crystal
Ru 0.7458 0.7458 0.7458
Sc 0.0164 0.0164 0.0164
Sc 0.2525 0.2525 0.2525
Y 0.4854 0.4854 0.4854
CELL_PARAMETERS angstrom
9.7580 -0.0070 -0.0041
9.1860 3.2917 -0.0041
9.1860 1.5928 2.8807

No. 4
! YSc2Ru (PBE, relaxed); values from VASP
! Crystal system: orthorhombic
! Energy relative to the lowest polymorph listed for this composition in meV/atom: 5.5
! Space-group type: Cmcm, No. 63
! Energy of formation from the pure elements in kcal/mol of atoms: -7.7
! Total magnetic moment in μB per formula unit: 0.00
&SYSTEM
  ibrav = 0, nat = 8, ntyp = 3
/
ATOMIC_SPECIES
Y 88.91 Y.upf
Sc 44.96 Sc.upf
Ru 101.07 Ru.upf
ATOMIC_POSITIONS crystal
Y 0.9346 0.8692 0.2500
Y 0.0654 0.1308 0.7500
Sc 0.3525 0.7049 0.5652
Sc 0.6475 0.2951 0.4348
Sc 0.3525 0.7049 0.9348
Sc 0.6475 0.2951 0.0652
Ru 0.7532 0.5062 0.7500
Ru 0.2468 0.4938 0.2500
CELL_PARAMETERS angstrom
-0.9562 -2.9114 -2.3166
5.9005 -0.1242 0.9031
-1.1388 -4.9995 6.7533

No. 5
! Y3ScRu8 (PBE, relaxed); values from VASP
! Crystal system: trigonal
! Space-group type: R3m, No. 160
! Energy of formation from the pure elements in kcal/mol of atoms: -6.8
! Total magnetic moment in μB per formula unit: 0.00
&SYSTEM
  ibrav = 0, nat = 12, ntyp = 3
/
ATOMIC_SPECIES
Y 88.91 Y.upf
Sc 44.96 Sc.upf
Ru 101.07 Ru.upf
ATOMIC_POSITIONS crystal
Y 0.3747 0.3747 0.8759
Y 0.9986 0.9986 0.0042
Y 0.5005 0.5005 0.4985
Sc 0.8748 0.8748 0.3757
Ru 0.9318 0.4380 0.1922
Ru 0.4406 0.9381 0.6832
Ru 0.4380 0.4380 0.1922
Ru 0.9381 0.9381 0.6832
Ru 0.1886 0.1886 0.4342
Ru 0.6882 0.6882 0.9353
Ru 0.4380 0.9318 0.1922
Ru 0.9381 0.4406 0.6832
CELL_PARAMETERS angstrom
-1.8731 -4.7393 1.4433
0.9353 -1.8443 4.8761
-7.6400 1.5621 4.9328

No. 6
! YScRu (PBE, relaxed); values from VASP
! Crystal system: cubic
! Energy relative to the lowest polymorph listed for this composition in meV/atom: 156.2
! Space-group type: F-43m, No. 216
! Energy of formation from the pure elements in kcal/mol of atoms: -6.1
! Total magnetic moment in μB per formula unit: 0.00
&SYSTEM
  ibrav = 0, nat = 3, ntyp = 3
/
ATOMIC_SPECIES
Y 88.91 Y.upf
Sc 44.96 Sc.upf
Ru 101.07 Ru.upf
ATOMIC_POSITIONS crystal
Y 0.9445 0.9722 0.9167
Sc 0.9444 0.4722 0.4166
Ru 0.4444 0.2222 0.6666
CELL_PARAMETERS angstrom
4.6452 -0.0294 -0.0417
-2.2950 4.0388 0.0417
-2.2964 -1.3474 3.8072

No. 7
! YScRu2 (PBE, relaxed); values from VASP
! Crystal system: monoclinic
! Space-group type: C2/m, No. 12
! Energy of formation from the pure elements in kcal/mol of atoms: -2.3
! Total magnetic moment in μB per formula unit: 0.00
&SYSTEM
  ibrav = 0, nat = 4, ntyp = 3
/
ATOMIC_SPECIES
Ru 101.07 Ru.upf
Sc 44.96 Sc.upf
Y 88.91 Y.upf
ATOMIC_POSITIONS crystal
Ru 0.0055 0.0055 0.9575
Ru 0.4945 0.4945 0.5425
Sc 0.7500 0.7500 0.7500
Y 0.2500 0.2500 0.2500
CELL_PARAMETERS angstrom
-2.8645 -0.0962 3.4873
-4.4629 -0.1221 0.6658
-0.9837 -5.6351 0.6091

No. 8
! YScRu (PBE, relaxed); values from VASP
! Crystal system: trigonal
! Energy relative to the lowest polymorph listed for this composition in meV/atom: 220.0
! Space-group type: P3m1, No. 156
! Energy of formation from the pure elements in kcal/mol of atoms: -4.6
! Total magnetic moment in μB per formula unit: 0.00
&SYSTEM
  ibrav = 0, nat = 3, ntyp = 3
/
ATOMIC_SPECIES
Ru 101.07 Ru.upf
Sc 44.96 Sc.upf
Y 88.91 Y.upf
ATOMIC_POSITIONS crystal
Ru 0.0000 0.0000 0.0459
Sc 0.6667 0.3333 0.2491
Y 0.3333 0.6667 0.7050
CELL_PARAMETERS angstrom
4.5890 0.0000 0.0000
-2.2945 3.9742 0.0000
0.0000 0.0000 3.4765

No. 9
! YScRu (PBE, relaxed); values from VASP
! Crystal system: cubic
! Energy relative to the lowest polymorph listed for this composition in meV/atom: 841.6
! Space-group type: F-43m, No. 216
! Energy of formation from the pure elements in kcal/mol of atoms: 9.7
! Total magnetic moment in μB per formula unit: 0.00
&SYSTEM
  ibrav = 0, nat = 3, ntyp = 3
/
ATOMIC_SPECIES
Ru 101.07 Ru.upf
Sc 44.96 Sc.upf
Y 88.91 Y.upf
ATOMIC_POSITIONS crystal
Ru 0.5000 0.5000 0.5000
Sc 0.7500 0.7500 0.7500
Y 0.0000 0.0000 0.0000
CELL_PARAMETERS angstrom
4.5751 0.0000 0.0000
2.2876 3.9622 0.0000
2.2876 1.3207 3.7356

No. 10
! YScRu2 (PBE, relaxed); values from VASP
! Crystal system: tetragonal
! Space-group type: P4mm, No. 99
! Energy of formation from the pure elements in kcal/mol of atoms: 0.0
! Total magnetic moment in μB per formula unit: 0.00
&SYSTEM
  ibrav = 0, nat = 4, ntyp = 3
/
ATOMIC_SPECIES
Ru 101.07 Ru.upf
Sc 44.96 Sc.upf
Y 88.91 Y.upf
ATOMIC_POSITIONS crystal
Ru 0.0000 0.0000 0.0460
Ru 0.5000 0.5000 0.2206
Sc 0.0000 0.0000 0.4364
Y 0.5000 0.5000 0.7970
CELL_PARAMETERS angstrom
3.0590 0.0082 0.0000
-0.0075 3.0590 0.0000
0.0000 0.0000 8.5343

No. 11
! YSc2Ru (PBE, relaxed); values from VASP
! Crystal system: trigonal
! Energy relative to the lowest polymorph listed for this composition in meV/atom: 367.9
! Space-group type: R-3m, No. 166
! Energy of formation from the pure elements in kcal/mol of atoms: 0.6
! Total magnetic moment in μB per formula unit: 0.78
&SYSTEM
  ibrav = 0, nat = 4, ntyp = 3
/
ATOMIC_SPECIES
Y 88.91 Y.upf
Ru 101.07 Ru.upf
Sc 44.96 Sc.upf
ATOMIC_POSITIONS crystal
Y 0.0000 0.0000 0.0000
Ru 0.5000 0.5000 0.5000
Sc 0.8941 0.8941 0.8941
Sc 0.1059 0.1059 0.1059
CELL_PARAMETERS angstrom
2.1439 -5.7301 8.4601
0.9650 -8.0877 6.5316
4.1078 -7.2240 6.3202

No. 12
! YScRu (PBE, relaxed); values from VASP
! Crystal system: hexagonal
! Energy relative to the lowest polymorph listed for this composition in meV/atom: 0.0
! Space-group type: P-62m, No. 189
! Energy of formation from the pure elements in kcal/mol of atoms: -9.7
! Total magnetic moment in μB per formula unit: 0.00
&SYSTEM
  ibrav = 0, nat = 18, ntyp = 3
/
ATOMIC_SPECIES
Y 88.91 Y.upf
Sc 44.96 Sc.upf
Ru 101.07 Ru.upf
ATOMIC_POSITIONS crystal
Y 0.2569 0.9574 0.4574
Y 0.6717 0.0426 0.5426
Y 0.6717 0.5427 0.0427
Y 0.2571 0.4573 0.9573
Y 0.8422 0.2499 0.7499
Y 0.8419 0.7501 0.2501
Sc 0.5074 0.5000 0.5000
Sc 0.5074 0.0000 0.0000
Sc 0.2569 0.8746 0.8749
Sc 0.0064 0.1254 0.1251
Sc 0.0064 0.6251 0.6254
Sc 0.2569 0.3749 0.3746
Ru 0.2568 0.7501 0.2501
Ru 0.2571 0.2499 0.7499
Ru 0.5901 0.6665 0.6669
Ru 0.9235 0.3335 0.3331
Ru 0.9235 0.8331 0.8335
Ru 0.5901 0.1669 0.1665
CELL_PARAMETERS angstrom
7.3479 0.0000 0.0000
3.6739 7.6029 0.2704
3.6739 2.7867 7.0790

no.,electronic total energy (hartree per atom)
1,-0.266
2,-0.271
3,-0.261
4,-0.273
5,-0.317
6,-0.280
7,-0.292
8,-0.278
9,-0.255
10,-0.288
11,-0.260
12,-0.286